TbDy2Y5Ho: relaxed, PBE.

Cell lengths 9.7511, 9.7511, 9.7511 Å; angles 126.21, 126.21, 79.55 degrees
With the nearest neighbours (Å) after each atom.
Atoms (fractional coordinates):
Tb1 0.2500 0.2500 0.0000  10 Y 3.61-3.75
Tb2 0.7500 0.7500 0.0000  10 Y 3.61-3.75
Dy1 0.1141 0.6141 0.7283  1 Dy 2.85, 2 Y 3.02
Dy2 0.3859 0.1141 0.5000  1 Dy 2.85, 2 Y 3.02
Dy3 0.6141 0.8859 0.5000  1 Dy 2.85, 2 Y 3.02
Dy4 0.8859 0.3859 0.2717  1 Dy 2.85, 2 Y 3.02
Y1 0.0000 0.0000 0.0000  4 Dy 3.55, 2 Tb 3.75, 8 Y 3.76
Y2 0.0710 0.1597 0.5000  1 Dy 3.02, 1 Ho 3.09
Y3 0.1597 0.6597 0.0888  1 Dy 3.02, 1 Ho 3.09
Y4 0.3403 0.4290 0.5000  1 Dy 3.02, 1 Ho 3.09
Y5 0.4290 0.9290 0.0888  1 Dy 3.02, 1 Ho 3.09
Y6 0.5000 0.5000 0.0000  4 Dy 3.55, 2 Tb 3.75, 8 Y 3.76
Y7 0.5710 0.0710 0.9112  1 Dy 3.02, 1 Ho 3.09
Y8 0.6597 0.5710 0.5000  1 Dy 3.02, 1 Ho 3.09
Y9 0.8403 0.3403 0.9112  1 Dy 3.02, 1 Ho 3.09
Y10 0.9290 0.8403 0.5000  1 Dy 3.02, 1 Ho 3.09
Ho1 0.2500 0.7500 0.5000  4 Y 3.09
Ho2 0.7500 0.2500 0.5000  4 Y 3.09

Energy of formation: 0.286 eV per atom

LaHoCo: relaxed, PBE.

Cell lengths 3.4252, 3.4252, 13.0494 Å; angles 90.00, 90.00, 90.00 degrees
With the nearest neighbours (Å) after each atom.
Atoms (fractional coordinates):
La1 0.0000 0.0000 0.0000  4 Co 3.00, 1 Ho 3.29
La2 0.5000 0.5000 0.5000  4 Co 3.00, 1 Ho 3.29
Ho1 0.0000 0.0000 0.2520  4 Co 2.86
Ho2 0.5000 0.5000 0.7520  4 Co 2.86
Co1 0.0000 0.0000 0.6359  4 Ho 2.86, 4 La 3.00
Co2 0.5000 0.5000 0.1359  4 Ho 2.86, 4 La 3.00

Energy of formation: -0.055 eV per atom

Number 1: Fermi-level density of states 24.662 states/eV per cell, magnetization 0.0 μB per formula unit. Number 2: Fermi-level density of states 6.195 states/eV per cell, magnetization 0.6 μB per formula unit.